# CeMg3Tl3 (PBE-GGA, optimized geometry)
data_CeMg3Tl3
_symmetry_space_group_name_H-M 'P 63/m'
_symmetry_Int_Tables_number 176
_symmetry_space_group_name_Hall '-P 6c'
_cell_length_a 9.0974
_cell_length_b 9.0974
_cell_length_c 5.1056
_cell_angle_alpha 90.00
_cell_angle_beta 90.00
_cell_angle_gamma 120.00
loop_
_atom_site_label
_atom_site_type_symbol
_atom_site_fract_x
_atom_site_fract_y
_atom_site_fract_z
_atom_site_occupancy
Ce1 Ce 0.3333 0.6667 0.2500 1
Mg1 Mg 0.0280 0.8014 0.2500 1
Tl1 Tl 0.0844 0.6407 0.7500 1
# ρ	7.5	g/cm³
# formation enthalpy at 0 K	-0.436	eV per formula unit
# magnetic moment	0.172	μB/atom